Entry 1
# PBE Sc2WCl, optimized geometry
data_Sc2WCl
_cell_length_a 5.8484
_cell_length_b 5.8484
_cell_length_c 5.8484
_cell_angle_alpha 141.38
_cell_angle_beta 141.38
_cell_angle_gamma 55.76
_space_group_name_H-M_alt 'P 1'
_space_group_IT_number 1
_space_group_name_Hall 'P 1'
loop_
_atom_site_label
_atom_site_type_symbol
_atom_site_fract_x
_atom_site_fract_y
_atom_site_fract_z
Cl1 Cl 0.7500 0.2500 0.5000
W1 W 0.5000 0.5000 0.0000
Sc1 Sc 0.0000 0.0000 0.0000
Sc2 Sc 0.2500 0.7500 0.5000
# calculated volume	77.33	Å³ per cell
# DOS(E_F)	4.90	states/eV/cell
# space-group type	I-4m2

Entry 2
# PBE Sc2WCl, optimized geometry
data_Sc2WCl
_cell_length_a 3.2377
_cell_length_b 3.2377
_cell_length_c 7.6902
_cell_angle_alpha 90.00
_cell_angle_beta 90.00
_cell_angle_gamma 90.00
_space_group_name_H-M_alt 'P 1'
_space_group_IT_number 1
_space_group_name_Hall 'P 1'
loop_
_atom_site_label
_atom_site_type_symbol
_atom_site_fract_x
_atom_site_fract_y
_atom_site_fract_z
Sc1 Sc 0.0000 0.0000 0.4689
Sc2 Sc 0.0000 0.0000 0.0311
Cl1 Cl 0.5000 0.5000 0.7500
W1 W 0.5000 0.5000 0.2500
# calculated volume	80.61	Å³ per cell
# DOS(E_F)	3.59	states/eV/cell
# space-group type	P4/mmm

Entry 3
# PBE Sc2WCl, optimized geometry
data_Sc2WCl
_cell_length_a 3.1280
_cell_length_b 3.4700
_cell_length_c 7.7908
_cell_angle_alpha 89.91
_cell_angle_beta 90.00
_cell_angle_gamma 90.00
_space_group_name_H-M_alt 'P 1'
_space_group_IT_number 1
_space_group_name_Hall 'P 1'
loop_
_atom_site_label
_atom_site_type_symbol
_atom_site_fract_x
_atom_site_fract_y
_atom_site_fract_z
W1 W 0.5000 0.2500 0.2500
Cl1 Cl 0.5000 0.7500 0.7500
Sc1 Sc 0.0000 0.7506 0.0356
Sc2 Sc 0.0000 0.7494 0.4644
# calculated volume	84.56	Å³ per cell
# DOS(E_F)	3.25	states/eV/cell
# space-group type	P2/m

Entry 4
# PBE Sc2WCl, optimized geometry
data_Sc2WCl
_cell_length_a 4.7734
_cell_length_b 4.7734
_cell_length_c 4.7734
_cell_angle_alpha 60.00
_cell_angle_beta 60.00
_cell_angle_gamma 60.00
_space_group_name_H-M_alt 'P 1'
_space_group_IT_number 1
_space_group_name_Hall 'P 1'
loop_
_atom_site_label
_atom_site_type_symbol
_atom_site_fract_x
_atom_site_fract_y
_atom_site_fract_z
Sc1 Sc 0.0000 0.0000 0.0000
Cl1 Cl 0.5000 0.5000 0.5000
Sc2 Sc 0.2500 0.2500 0.2500
W1 W 0.7500 0.7500 0.7500
# calculated volume	76.91	Å³ per cell
# DOS(E_F)	6.19	states/eV/cell
# space-group type	F-43m

Quick one: least stable of them? entry 4

Entry 1
# PBE Sc2WCl, optimized geometry
data_Sc2WCl
_cell_length_a 9.2067
_cell_length_b 9.2067
_cell_length_c 9.2067
_cell_angle_alpha 21.06
_cell_angle_beta 21.06
_cell_angle_gamma 21.06
_space_group_name_H-M_alt 'P 1'
_space_group_IT_number 1
_space_group_name_Hall 'P 1'
loop_
_atom_site_label
_atom_site_type_symbol
_atom_site_fract_x
_atom_site_fract_y
_atom_site_fract_z
Sc1 Sc 0.9071 0.9071 0.9071
W1 W 0.5000 0.5000 0.5000
Sc2 Sc 0.0929 0.0929 0.0929
Cl1 Cl 0.0000 0.0000 0.0000
# calculated volume	88.27	Å³ per cell
# DOS(E_F)	5.07	states/eV/cell
# space-group type	R-3m

Entry 2
# PBE Sc2WCl, optimized geometry
data_Sc2WCl
_cell_length_a 2.9600
_cell_length_b 2.9600
_cell_length_c 10.5391
_cell_angle_alpha 90.00
_cell_angle_beta 90.00
_cell_angle_gamma 89.99
_space_group_name_H-M_alt 'P 1'
_space_group_IT_number 1
_space_group_name_Hall 'P 1'
loop_
_atom_site_label
_atom_site_type_symbol
_atom_site_fract_x
_atom_site_fract_y
_atom_site_fract_z
Sc1 Sc 0.5000 0.5000 0.2445
Cl1 Cl 0.5000 0.5000 0.8340
W1 W 0.0000 0.0000 0.4395
Sc2 Sc 0.0000 0.0000 0.9819
# calculated volume	92.34	Å³ per cell
# DOS(E_F)	3.66	states/eV/cell
# space-group type	P4mm

Entry 3
# PBE Sc2WCl, optimized geometry
data_Sc2WCl
_cell_length_a 7.7747
_cell_length_b 5.0666
_cell_length_c 3.0209
_cell_angle_alpha 90.08
_cell_angle_beta 67.02
_cell_angle_gamma 130.61
_space_group_name_H-M_alt 'P 1'
_space_group_IT_number 1
_space_group_name_Hall 'P 1'
loop_
_atom_site_label
_atom_site_type_symbol
_atom_site_fract_x
_atom_site_fract_y
_atom_site_fract_z
W1 W 0.0000 0.5000 0.5000
Sc1 Sc 0.0000 0.0000 0.0000
Cl1 Cl 0.5000 0.5000 0.0000
Sc2 Sc 0.5000 0.0000 0.5000
# calculated volume	77.55	Å³ per cell
# DOS(E_F)	3.24	states/eV/cell
# space-group type	C2/m

Quick one: least stable of them? entry 2

Entry 1
# PBE Sc2WCl, optimized geometry
data_Sc2WCl
_cell_length_a 3.0236
_cell_length_b 4.7819
_cell_length_c 5.5337
_cell_angle_alpha 90.00
_cell_angle_beta 90.00
_cell_angle_gamma 90.00
_space_group_name_H-M_alt 'P 1'
_space_group_IT_number 1
_space_group_name_Hall 'P 1'
loop_
_atom_site_label
_atom_site_type_symbol
_atom_site_fract_x
_atom_site_fract_y
_atom_site_fract_z
Cl1 Cl 0.5000 0.5000 0.8576
W1 W 0.0000 0.0000 0.3984
Sc1 Sc 0.0000 0.0000 0.9174
Sc2 Sc 0.5000 0.5000 0.3266
# calculated volume	80.01	Å³ per cell
# DOS(E_F)	2.61	states/eV/cell
# space-group type	Pmm2

Entry 2
# PBE Sc2WCl, optimized geometry
data_Sc2WCl
_cell_length_a 7.2587
_cell_length_b 7.2587
_cell_length_c 5.9581
_cell_angle_alpha 52.47
_cell_angle_beta 52.47
_cell_angle_gamma 90.00
_space_group_name_H-M_alt 'P 1'
_space_group_IT_number 1
_space_group_name_Hall 'P 1'
loop_
_atom_site_label
_atom_site_type_symbol
_atom_site_fract_x
_atom_site_fract_y
_atom_site_fract_z
Cl1 Cl 0.5000 0.5000 0.0000
Sc1 Sc 0.5810 0.1250 0.2500
Sc2 Sc 0.1690 0.6250 0.2500
Sc3 Sc 0.8750 0.8310 0.7500
W1 W 0.0000 0.0000 0.0000
Cl2 Cl 0.2500 0.7500 0.5000
Sc4 Sc 0.3750 0.4190 0.7500
W2 W 0.7500 0.2500 0.5000
# calculated volume	159.42	Å³ per cell
# DOS(E_F)	9.73	states/eV/cell
# space-group type	I-42d

Entry 3
# PBE Sc2WCl, optimized geometry
data_Sc2WCl
_cell_length_a 4.7673
_cell_length_b 4.7673
_cell_length_c 4.7673
_cell_angle_alpha 60.00
_cell_angle_beta 60.00
_cell_angle_gamma 60.00
_space_group_name_H-M_alt 'P 1'
_space_group_IT_number 1
_space_group_name_Hall 'P 1'
loop_
_atom_site_label
_atom_site_type_symbol
_atom_site_fract_x
_atom_site_fract_y
_atom_site_fract_z
Cl1 Cl 0.0000 0.0000 0.0000
Sc1 Sc 0.7500 0.7500 0.7500
Sc2 Sc 0.2500 0.2500 0.2500
W1 W 0.5000 0.5000 0.5000
# calculated volume	76.61	Å³ per cell
# DOS(E_F)	1.61	states/eV/cell
# space-group type	Fm-3m

Quick one: least stable of them? entry 2

Entry 1
# PBE Sc2WCl, optimized geometry
data_Sc2WCl
_cell_length_a 3.1355
_cell_length_b 3.1355
_cell_length_c 8.5105
_cell_angle_alpha 79.64
_cell_angle_beta 79.64
_cell_angle_gamma 68.80
_space_group_name_H-M_alt 'P 1'
_space_group_IT_number 1
_space_group_name_Hall 'P 1'
loop_
_atom_site_label
_atom_site_type_symbol
_atom_site_fract_x
_atom_site_fract_y
_atom_site_fract_z
Cl1 Cl 0.5000 0.5000 0.7500
Sc1 Sc 0.0759 0.0759 0.0026
Sc2 Sc 0.9241 0.9241 0.4974
W1 W 0.5000 0.5000 0.2500
# calculated volume	76.13	Å³ per cell
# DOS(E_F)	2.92	states/eV/cell
# space-group type	C2/m

Entry 2
# PBE Sc2WCl, optimized geometry
data_Sc2WCl
_cell_length_a 3.1782
_cell_length_b 5.6948
_cell_length_c 4.3982
_cell_angle_alpha 90.00
_cell_angle_beta 90.00
_cell_angle_gamma 90.00
_space_group_name_H-M_alt 'P 1'
_space_group_IT_number 1
_space_group_name_Hall 'P 1'
loop_
_atom_site_label
_atom_site_type_symbol
_atom_site_fract_x
_atom_site_fract_y
_atom_site_fract_z
W1 W 0.5000 0.0000 0.5000
Cl1 Cl 0.0000 0.5000 0.5000
Sc1 Sc 0.5000 0.5000 0.0000
Sc2 Sc 0.0000 0.0000 0.0000
# calculated volume	79.60	Å³ per cell
# DOS(E_F)	4.88	states/eV/cell
# space-group type	Pmmm

Entry 3
# PBE Sc2WCl, optimized geometry
data_Sc2WCl
_cell_length_a 5.5087
_cell_length_b 5.5087
_cell_length_c 5.5087
_cell_angle_alpha 147.25
_cell_angle_beta 116.67
_cell_angle_gamma 73.14
_space_group_name_H-M_alt 'P 1'
_space_group_IT_number 1
_space_group_name_Hall 'P 1'
loop_
_atom_site_label
_atom_site_type_symbol
_atom_site_fract_x
_atom_site_fract_y
_atom_site_fract_z
Sc1 Sc 0.0195 0.0195 0.0000
Cl1 Cl 0.2500 0.7500 0.5000
W1 W 0.7500 0.2500 0.5000
Sc2 Sc 0.4805 0.4805 0.0000
# calculated volume	79.46	Å³ per cell
# DOS(E_F)	4.75	states/eV/cell
# space-group type	Immm

Quick one: least stable of them? entry 2